No. 1
ScMo2 (GGA-PBEsol, relaxed); electronic total energy = -9.740 eV per atom; space group = P-3m1 (164); ΔH_f (0 K) = 0.31 eV/atom; calculated volume = 51.89 Å³ per cell; crystal system = trigonal; magnetic moment = 0.000 Bohr magnetons per cell
1.0
3.055 0.000 0.000
-1.528 2.646 0.000
0.000 0.000 6.419
Sc Mo
1 2
Direct
0.000 0.000 0.000 Sc
0.333 0.667 0.640 Mo
0.667 0.333 0.360 Mo


No. 2
Sc3Mo (GGA-PBEsol, relaxed); electronic total energy = -7.801 eV per atom; space group = Pnma (62); ΔH_f (0 K) = 0.10 eV/atom; calculated volume = 340.63 Å³ per cell; crystal system = orthorhombic; magnetic moment = 0.000 Bohr magnetons per cell
1.0
7.434 0.000 0.000
0.000 8.433 0.000
0.000 0.000 5.433
Sc Mo
12 4
Direct
0.031 0.250 0.104 Sc
0.174 0.065 0.614 Sc
0.174 0.435 0.614 Sc
0.326 0.565 0.114 Sc
0.326 0.935 0.114 Sc
0.469 0.750 0.604 Sc
0.531 0.250 0.396 Sc
0.674 0.065 0.886 Sc
0.674 0.435 0.886 Sc
0.826 0.565 0.386 Sc
0.826 0.935 0.386 Sc
0.969 0.750 0.896 Sc
0.127 0.750 0.432 Mo
0.373 0.250 0.932 Mo
0.627 0.750 0.068 Mo
0.873 0.250 0.568 Mo


No. 3
ScMo2 (GGA-PBEsol, relaxed); electronic total energy = -9.904 eV per atom; space group = C2/m (12); ΔH_f (0 K) = 0.14 eV/atom; calculated volume = 99.45 Å³ per cell; crystal system = monoclinic; magnetic moment = 0.000 Bohr magnetons per cell
1.0
5.063 -1.588 0.000
5.063 1.588 0.000
-2.118 0.000 6.184
Sc Mo
2 4
Direct
0.166 0.166 0.319 Sc
0.834 0.834 0.681 Sc
0.155 0.155 0.841 Mo
0.500 0.500 0.000 Mo
0.500 0.500 0.500 Mo
0.845 0.845 0.159 Mo


No. 4
ScMo2 (GGA-PBEsol, relaxed); electronic total energy = -10.036 eV per atom; space group = P6_3/mmc (194); ΔH_f (0 K) = 0.01 eV/atom; calculated volume = 422.25 Å³ per cell; crystal system = hexagonal; magnetic moment = 0.001 Bohr magnetons per cell
1.0
5.329 0.000 0.000
-2.664 4.615 0.000
0.000 0.000 17.170
Sc Mo
8 16
Direct
0.000 0.000 0.094 Sc
0.000 0.000 0.406 Sc
0.000 0.000 0.594 Sc
0.000 0.000 0.906 Sc
0.333 0.667 0.157 Sc
0.333 0.667 0.343 Sc
0.667 0.333 0.657 Sc
0.667 0.333 0.843 Sc
0.000 0.500 0.000 Mo
0.000 0.500 0.500 Mo
0.163 0.325 0.750 Mo
0.163 0.837 0.750 Mo
0.325 0.163 0.250 Mo
0.333 0.667 0.623 Mo
0.333 0.667 0.877 Mo
0.500 0.000 0.000 Mo
0.500 0.000 0.500 Mo
0.500 0.500 0.000 Mo
0.500 0.500 0.500 Mo
0.667 0.333 0.123 Mo
0.667 0.333 0.377 Mo
0.675 0.837 0.750 Mo
0.837 0.163 0.250 Mo
0.837 0.675 0.250 Mo


No. 5
Sc3MoSe (GGA-PBEsol, relaxed); electronic total energy = -6.778 eV per atom; space group = Pm-3m (221); raw formation energy = 0.309 eV/atom; calculated volume = 120.48 Å³ per cell; crystal system = cubic; magnetic moment = 0.001 Bohr magnetons per cell
1.0
4.939 0.000 0.000
0.000 4.939 0.000
0.000 0.000 4.939
Sc Mo Se
3 1 1
Direct
0.000 0.000 0.500 Sc
0.000 0.500 0.000 Sc
0.500 0.000 0.000 Sc
0.000 0.000 0.000 Mo
0.500 0.500 0.500 Se


No. 6
Sc2MoSe (GGA-PBEsol, relaxed); electronic total energy = -7.227 eV per atom; space group = F-43m (216); raw formation energy = -0.020 eV/atom; calculated volume = 67.90 Å³ per cell; crystal system = cubic; magnetic moment = 0.000 Bohr magnetons per cell
1.0
0.000 3.238 3.238
3.238 0.000 3.238
3.238 3.238 0.000
Sc Mo Se
2 1 1
Direct
0.000 0.000 0.000 Sc
0.250 0.250 0.250 Sc
0.500 0.500 0.500 Mo
0.750 0.750 0.750 Se